The following is a DFT calculation (PBE-GGA) of a relaxed RbNa2In2Hg2 crystal.

Summary:
Final energy ... -21.9 eV for the cell shown

Cell lengths 9.113, 5.268, 9.807 Å; angles 90.00, 108.21, 90.00 degrees
Space group C2/m (No. 12)
Unique sites:
Rb (0.000, 0.000, 0.000) (multiplicity 2)
Na (0.137, 0.000, 0.412) (multiplicity 4)
In (0.059, 0.500, 0.675) (multiplicity 4)
Hg (0.248, 0.000, 0.742) (multiplicity 4)